No. 1
A plane-wave DFT calculation with PBE was carried out for a relaxed structure of V2BSe.

Final energy (eV per cell): -54.782
Total moment (μB per formula unit): 0.7
Space group: I-42d, No. 122

a = 5.046 Å, b = 5.046 Å, c = 6.285 Å
α = 66.33°, β = 66.33°, γ = 90.00°
Fractional coordinates of all 8 atoms:
1 V 0.552 0.125 0.250
2 V 0.198 0.625 0.250
3 V 0.375 0.448 0.750
4 B 0.500 0.500 0.000
5 Se 0.750 0.250 0.500
6 B 0.250 0.750 0.500
7 Se 0.000 0.000 0.000
8 V 0.875 0.802 0.750

No. 2
A plane-wave DFT calculation with PBE was carried out for a relaxed structure of VBSe2.

Final energy (eV per cell): -21.411
Total moment (μB per formula unit): 0.0
Space group: R-3m, No. 166

a = 7.252 Å, b = 7.252 Å, c = 7.252 Å
α = 26.60°, β = 26.60°, γ = 26.60°
Fractional coordinates of all 4 atoms:
1 B 0.000 0.000 0.000
2 V 0.500 0.500 0.500
3 Se 0.909 0.909 0.909
4 Se 0.091 0.091 0.091

No. 3
A plane-wave DFT calculation with PBE was carried out for a relaxed structure of V3BSe.

Final energy (eV per cell): -36.849
Total moment (μB per formula unit): 0.0
Space group: Pm-3m, No. 221

a = 4.055 Å, b = 4.055 Å, c = 4.055 Å
α = 90.00°, β = 90.00°, γ = 90.00°
Fractional coordinates of all 5 atoms:
1 V 0.000 0.000 0.500
2 V 0.000 0.500 0.000
3 V 0.500 0.000 0.000
4 B 0.000 0.000 0.000
5 Se 0.500 0.500 0.500

No. 4
A plane-wave DFT calculation with PBE was carried out for a relaxed structure of Y2VBSe.

Final energy (eV per cell): -29.322
Total moment (μB per formula unit): 4.0
Space group: P4/mmm, No. 123

a = 5.410 Å, b = 4.086 Å, c = 5.410 Å
α = 90.00°, β = 90.00°, γ = 90.00°
Fractional coordinates of all 5 atoms:
1 Y 0.000 0.000 0.500
2 Y 0.500 0.000 0.000
3 V 0.500 0.500 0.500
4 B 0.000 0.500 0.000
5 Se 0.000 0.000 0.000

No. 5
A plane-wave DFT calculation with PBE was carried out for a relaxed structure of B2WSe.

Final energy (eV per cell): -52.411
Total moment (μB per formula unit): 0.0
Space group: I-42d, No. 122

a = 5.070 Å, b = 5.070 Å, c = 5.866 Å
α = 64.40°, β = 64.40°, γ = 90.00°
Fractional coordinates of all 8 atoms:
1 W 0.750 0.250 0.500
2 Se 0.250 0.750 0.500
3 B 0.623 0.125 0.250
4 W 0.000 0.000 0.000
5 Se 0.500 0.500 0.000
6 B 0.875 0.873 0.750
7 B 0.375 0.377 0.750
8 B 0.127 0.625 0.250

No. 6
A plane-wave DFT calculation with PBE was carried out for a relaxed structure of B3WSe.

Final energy (eV per cell): -24.880
Total moment (μB per formula unit): 0.0
Space group: Pm-3m, No. 221

a = 3.973 Å, b = 3.973 Å, c = 3.973 Å
α = 90.00°, β = 90.00°, γ = 90.00°
Fractional coordinates of all 5 atoms:
1 B 0.500 0.000 0.000
2 Se 0.000 0.000 0.000
3 W 0.500 0.500 0.500
4 B 0.000 0.500 0.000
5 B 0.000 0.000 0.500

No. 7
A plane-wave DFT calculation with PBE was carried out for a relaxed structure of B2W2Se.

Final energy (eV per cell): -82.155
Total moment (μB per formula unit): 0.0
Space group: P4/mbm, No. 127

a = 6.182 Å, b = 6.182 Å, c = 3.090 Å
α = 90.00°, β = 90.00°, γ = 90.00°
Fractional coordinates of all 10 atoms:
1 W 0.680 0.820 0.500
2 B 0.400 0.900 0.000
3 B 0.100 0.400 0.000
4 B 0.600 0.100 0.000
5 W 0.820 0.320 0.500
6 B 0.900 0.600 0.000
7 Se 0.500 0.500 0.000
8 Se 0.000 0.000 0.000
9 W 0.320 0.180 0.500
10 W 0.180 0.680 0.500

No. 8
A plane-wave DFT calculation with PBE was carried out for a relaxed structure of B2WSe6.

Final energy (eV per cell): -95.081
Total moment (μB per formula unit): 0.0
Space group: C2/c, No. 15

a = 6.214 Å, b = 7.919 Å, c = 7.919 Å
α = 85.08°, β = 82.07°, γ = 82.07°
Fractional coordinates of all 18 atoms:
1 Se 0.675 0.586 0.110
2 W 0.750 0.872 0.128
3 Se 0.118 0.820 0.952
4 Se 0.325 0.414 0.890
5 Se 0.618 0.952 0.820
6 B 0.337 0.233 0.362
7 Se 0.121 0.437 0.294
8 Se 0.621 0.294 0.437
9 B 0.663 0.767 0.638
10 Se 0.882 0.180 0.048
11 Se 0.825 0.890 0.414
12 B 0.163 0.638 0.767
13 Se 0.382 0.048 0.180
14 W 0.250 0.128 0.872
15 Se 0.175 0.110 0.586
16 Se 0.879 0.563 0.706
17 B 0.837 0.362 0.233
18 Se 0.379 0.706 0.563

| no. | E_form (uncorrected) (meV per atom) | volume (Å³ per atom) |
| --- | --- | --- |
| 1 | 252 | 16.5 |
| 2 | 339 | 16.8 |
| 3 | 134 | 13.3 |
| 4 | 577 | 23.9 |
| 5 | 897 | 14.9 |
| 6 | 2318 | 12.5 |
| 7 | 334 | 11.8 |
| 8 | -36 | 21.2 |